## V3TeF (PBE+U)

Data for crystalline V3TeF at its relaxed geometry.

Values from the calculation:
Distance to the lowest polymorph of the same formula: 787 meV/atom
Crystal system: cubic
Total magnetization: 2.3877 μB per atom

a = 5.2905 Å, b = 5.2905 Å, c = 5.2905 Å
α = 90.00°, β = 90.00°, γ = 90.00°
Space group Pm-3m (No. 221)
Asymmetric unit:
V 0.0000 0.0000 0.5000 (multiplicity 3)
Te 0.0000 0.0000 0.0000 (multiplicity 1)
F 0.5000 0.5000 0.5000 (multiplicity 1)